(one)
A plane-wave DFT calculation with PBE was carried out for a geometry-optimized SrNi3H structure.

Unit cell a=4.964 b=4.964 c=4.964 alpha=90.00 beta=90.00 gamma=90.00
Space group Pm-3m (No. 221)
One atom of each set of equivalent atoms:
Sr (0.000, 0.000, 0.000) x1
Ni (0.000, 0.000, 0.500) x3
H (0.500, 0.500, 0.500) x1

Computed properties:
- crystal system = cubic
- density (Mg/m³) = 3.59

---

(two)
A plane-wave DFT calculation with PBE was carried out for a geometry-optimized SrNi3H structure.

Unit cell a=3.999 b=3.999 c=3.999 alpha=90.00 beta=90.00 gamma=90.00
Space group Pm-3m (No. 221)
One atom of each set of equivalent atoms:
Sr (0.000, 0.000, 0.000) x1
Ni (0.000, 0.500, 0.500) x3
H (0.500, 0.500, 0.500) x1

Computed properties:
- crystal system = cubic
- density (Mg/m³) = 6.87

---

(two) is the most stable structure; the next one sits 2007 meV per atom above it.